Record 1
Material: CaSmMg2
Method: DFT, PBE
State: optimized geometry

- Calculated formation energy: -0.09 eV per atom
- Calculated volume: 118.9 Å³ per cell
- VASP energy: -2.568 eV per atom
- Magnetic moment: 0.000 μB/atom

Lattice parameters (Å, degrees): 5.543 5.543 3.870 90.00 90.00 90.00
Space group P4/mmm (No. 123)
Asymmetric unit:
Ca  0.000  0.000  0.000
Sm  0.500  0.500  0.000
Mg  0.000  0.500  0.500

***

Record 2
Material: Ca2SmMg9
Method: DFT, PBE
State: optimized geometry

- Calculated formation energy: -0.06 eV per atom
- Calculated volume: 966.5 Å³ per cell
- VASP energy: -1.985 eV per atom
- Magnetic moment: 0.000 μB/atom

Lattice parameters (Å, degrees): 6.1320 6.1320 29.6792 90.00 90.00 120.00
Space group R-3m (No. 166, hexagonal axes)
Asymmetric unit:
Ca  0.0000  0.0000  0.1419
Sm  0.0000  0.0000  0.0000
Mg  0.0000  0.0000  0.3336
Mg  0.0000  0.0000  0.5000
Mg  0.0028  0.5014  0.9176

***

Record 3
Material: Ca2SmMg
Method: DFT, PBE
State: optimized geometry

- Calculated formation energy: 0.08 eV per atom
- Calculated volume: 416.6 Å³ per cell
- VASP energy: -2.503 eV per atom
- Magnetic moment: 0.001 μB/atom
- Energy above the lowest structure with this stoichiometry: 18 meV per atom

Lattice parameters (Å, degrees): 3.7056 3.7056 35.0305 90.00 90.00 120.00
Space group R3m (No. 160, hexagonal axes)
Asymmetric unit:
Ca  0.0000  0.0000  0.0000
Ca  0.0000  0.0000  0.1762
Sm  0.0000  0.0000  0.4218
Mg  0.0000  0.0000  0.5879

***

Record 4
Material: Ca2SmMg
Method: DFT, PBE
State: optimized geometry

- Calculated formation energy: 0.20 eV per atom
- Calculated volume: 420.2 Å³ per cell
- VASP energy: -2.379 eV per atom
- Magnetic moment: 0.000 μB/atom
- Energy above the lowest structure with this stoichiometry: 142 meV per atom

Lattice parameters (Å, degrees): 3.5723 3.5723 38.0221 90.00 90.00 120.00
Space group R-3m (No. 166, hexagonal axes)
Asymmetric unit:
Ca  0.0000  0.0000  0.0926
Sm  0.0000  0.0000  0.0000
Mg  0.0000  0.0000  0.5000

***

Record 5
Material: CaSm2Mg
Method: DFT, PBE
State: optimized geometry

- Calculated formation energy: 0.09 eV per atom
- Calculated volume: 400.7 Å³ per cell
- VASP energy: -3.172 eV per atom
- Magnetic moment: 0.000 μB/atom
- Energy above the lowest structure with this stoichiometry: 77 meV per atom

Lattice parameters (Å, degrees): 3.6278 3.6278 35.1587 90.00 90.00 120.00
Space group R-3m (No. 166, hexagonal axes)
Asymmetric unit:
Ca  0.0000  0.0000  0.0000
Sm  0.0000  0.0000  0.2423
Mg  0.0000  0.0000  0.5000

***

Record 6
Material: CaSm2Mg9
Method: DFT, PBE
State: optimized geometry

- Calculated formation energy: -0.05 eV per atom
- Calculated volume: 964.2 Å³ per cell
- VASP energy: -2.204 eV per atom
- Magnetic moment: 0.000 μB/atom

Lattice parameters (Å, degrees): 6.1056 6.1056 29.8666 90.00 90.00 120.00
Space group R-3m (No. 166, hexagonal axes)
Asymmetric unit:
Ca  0.0000  0.0000  0.0000
Sm  0.0000  0.0000  0.1466
Mg  0.0000  0.0000  0.3343
Mg  0.0000  0.0000  0.5000
Mg  0.0039  0.5020  0.9153

***

Record 7
Material: CaSm2Mg
Method: DFT, PBE
State: optimized geometry

- Calculated formation energy: 0.01 eV per atom
- Calculated volume: 132.5 Å³ per cell
- VASP energy: -3.249 eV per atom
- Magnetic moment: 0.000 μB/atom
- Energy above the lowest structure with this stoichiometry: 0 meV per atom

Lattice parameters (Å, degrees): 3.857 3.857 8.905 90.00 90.00 90.00
Space group P4/mmm (No. 123)
Asymmetric unit:
Ca  0.000  0.000  0.000
Sm  0.500  0.500  0.295
Mg  0.000  0.000  0.500

***

Record 8
Material: Ca3SmMg4
Method: DFT, PBE
State: optimized geometry

- Calculated formation energy: -0.08 eV per atom
- Calculated volume: 244.2 Å³ per cell
- VASP energy: -2.217 eV per atom
- Magnetic moment: 0.030 μB/atom

Lattice parameters (Å, degrees): 3.864 3.864 16.351 90.00 90.00 90.00
Space group P4/mmm (No. 123)
Asymmetric unit:
Ca  0.000  0.000  0.000
Ca  0.000  0.000  0.254
Sm  0.000  0.000  0.500
Mg  0.500  0.500  0.127
Mg  0.500  0.500  0.381

***

Record 9
Material: CaSm5Mg4
Method: DFT, PBE
State: optimized geometry

- Calculated formation energy: -0.06 eV per atom
- Calculated volume: 303.1 Å³ per cell
- VASP energy: -3.253 eV per atom
- Magnetic moment: 0.000 μB/atom

Lattice parameters (Å, degrees): 3.864 3.864 20.303 90.00 90.00 90.00
Space group P4/mmm (No. 123)
Asymmetric unit:
Ca  0.000  0.000  0.000
Sm  0.500  0.500  0.127
Sm  0.500  0.500  0.311
Sm  0.500  0.500  0.500
Mg  0.000  0.000  0.218
Mg  0.000  0.000  0.405

***

Record 10
Material: Ca2SmMg
Method: DFT, PBE
State: optimized geometry

- Calculated formation energy: 0.12 eV per atom
- Calculated volume: 542.6 Å³ per cell
- VASP energy: -2.462 eV per atom
- Magnetic moment: 0.000 μB/atom
- Energy above the lowest structure with this stoichiometry: 59 meV per atom

Lattice parameters (Å, degrees): 8.156 8.156 8.156 90.00 90.00 90.00
Space group Fm-3m (No. 225)
Asymmetric unit:
Ca  0.250  0.250  0.250
Sm  0.000  0.000  0.000
Mg  0.000  0.000  0.500

***

Record 11
Material: CaSm2Mg
Method: DFT, PBE
State: optimized geometry

- Calculated formation energy: 0.05 eV per atom
- Calculated volume: 128.4 Å³ per cell
- VASP energy: -3.209 eV per atom
- Magnetic moment: 0.000 μB/atom
- Energy above the lowest structure with this stoichiometry: 40 meV per atom

Lattice parameters (Å, degrees): 5.515 5.515 4.221 90.00 90.00 90.00
Space group P4/mmm (No. 123)
Asymmetric unit:
Ca  0.000  0.000  0.000
Sm  0.000  0.500  0.500
Mg  0.500  0.500  0.000

***

Record 12
Material: CaSmMg2
Method: DFT, PBE
State: optimized geometry

- Calculated formation energy: -0.09 eV per atom
- Calculated volume: 476.2 Å³ per cell
- VASP energy: -2.565 eV per atom
- Magnetic moment: 0.000 μB/atom

Lattice parameters (Å, degrees): 7.809 7.809 7.809 90.00 90.00 90.00
Space group Fm-3m (No. 225)
Asymmetric unit:
Ca  0.000  0.000  0.000
Sm  0.000  0.000  0.500
Mg  0.250  0.250  0.250

***

Record 13
Material: CaSm2Mg
Method: DFT, PBE
State: optimized geometry

- Calculated formation energy: 0.05 eV per atom
- Calculated volume: 511.4 Å³ per cell
- VASP energy: -3.211 eV per atom
- Magnetic moment: 0.000 μB/atom
- Energy above the lowest structure with this stoichiometry: 38 meV per atom

Lattice parameters (Å, degrees): 7.997 7.997 7.997 90.00 90.00 90.00
Space group Fm-3m (No. 225)
Asymmetric unit:
Ca  0.000  0.000  0.000
Sm  0.250  0.250  0.250
Mg  0.000  0.000  0.500

***

Record 14
Material: Ca2SmMg
Method: DFT, PBE
State: optimized geometry

- Calculated formation energy: 0.06 eV per atom
- Calculated volume: 136.3 Å³ per cell
- VASP energy: -2.521 eV per atom
- Magnetic moment: 0.000 μB/atom
- Energy above the lowest structure with this stoichiometry: 0 meV per atom

Lattice parameters (Å, degrees): 4.207 4.207 7.702 90.00 90.00 90.00
Space group P4/mmm (No. 123)
Asymmetric unit:
Ca  0.000  0.000  0.234
Sm  0.500  0.500  0.500
Mg  0.500  0.500  0.000

***

Record 15
Material: Ca5SmMg4
Method: DFT, PBE
State: optimized geometry

- Calculated formation energy: -0.02 eV per atom
- Calculated volume: 324.5 Å³ per cell
- VASP energy: -2.132 eV per atom
- Magnetic moment: 0.044 μB/atom

Lattice parameters (Å, degrees): 3.753 3.753 23.043 90.00 90.00 90.00
Space group P4/mmm (No. 123)
Asymmetric unit:
Ca  0.000  0.000  0.000
Ca  0.000  0.000  0.190
Ca  0.000  0.000  0.381
Sm  0.500  0.500  0.500
Mg  0.500  0.500  0.095
Mg  0.500  0.500  0.285

***

Record 16
Material: Ca3Sm2Mg3
Method: DFT, PBE
State: optimized geometry

- Calculated formation energy: -0.04 eV per atom
- Calculated volume: 510.4 Å³ per cell
- VASP energy: -2.566 eV per atom
- Magnetic moment: 0.000 μB/atom

Lattice parameters (Å, degrees): 3.799 5.677 23.664 90.00 90.00 90.00
Space group Immm (No. 71)
Asymmetric unit:
Ca  0.000  0.000  0.000
Ca  0.000  0.500  0.125
Sm  0.000  0.000  0.234
Mg  0.000  0.000  0.500
Mg  0.000  0.500  0.381

***

Record 17
Material: CaSmMg17
Method: DFT, PBE
State: optimized geometry

- Calculated formation energy: -0.04 eV per atom
- Calculated volume: 1409.4 Å³ per cell
- VASP energy: -1.816 eV per atom
- Magnetic moment: 0.000 μB/atom

Lattice parameters (Å, degrees): 10.3221 10.3221 15.2743 90.00 90.00 120.00
Space group R3m (No. 160, hexagonal axes)
Asymmetric unit:
Ca  0.0000  0.0000  0.0000
Sm  0.0000  0.0000  0.6656
Mg  0.0000  0.0000  0.2346
Mg  0.0000  0.0000  0.4346
Mg  0.0009  0.3016  0.3353
Mg  0.0082  0.5041  0.4860
Mg  0.1691  0.3382  0.1700
Mg  0.1703  0.3406  0.5168

***

Record 18
Material: CaTbSmMg
Method: DFT, PBE
State: optimized geometry

- Calculated formation energy: 0.06 eV per atom
- Calculated volume: 502.5 Å³ per cell
- VASP energy: -3.174 eV per atom
- Magnetic moment: 0.000 μB/atom
- Energy above the lowest structure with this stoichiometry: 76 meV per atom

Lattice parameters (Å, degrees): 7.950 7.950 7.950 90.00 90.00 90.00
Space group F-43m (No. 216)
Asymmetric unit:
Ca  0.000  0.000  0.000
Tb  0.250  0.250  0.250
Sm  0.250  0.250  0.750
Mg  0.000  0.000  0.500

***

Record 19
Material: CaTbSmMg
Method: DFT, PBE
State: optimized geometry

- Calculated formation energy: -0.01 eV per atom
- Calculated volume: 129.0 Å³ per cell
- VASP energy: -3.250 eV per atom
- Magnetic moment: 0.000 μB/atom
- Energy above the lowest structure with this stoichiometry: 0 meV per atom

Lattice parameters (Å, degrees): 3.636 3.636 9.756 90.00 90.00 90.00
Space group P4mm (No. 99)
Asymmetric unit:
Ca  0.000  0.000  0.000
Tb  0.000  0.000  0.458
Sm  0.500  0.500  0.706
Mg  0.500  0.500  0.238

***

Record 20
Material: Ca3Sm3MgTe8
Method: DFT, PBE
State: optimized geometry

- Calculated volume: 1504.7 Å³ per cell
- VASP energy: -4.536 eV per atom
- Magnetic moment: 0.000 μB/atom
- Uncorrected formation energy: -1.4101 eV per atom

Lattice parameters (Å, degrees): 8.8675 8.8675 22.0976 90.00 90.00 120.00
Space group R-3m (No. 166, hexagonal axes)
Asymmetric unit:
Ca  0.0000  0.5000  0.0000
Sm  0.0000  0.5000  0.5000
Mg  0.0000  0.0000  0.5000
Te  0.0000  0.0000  0.2499
Te  0.0092  0.5046  0.2466

***

Record 21
Material: CaSmMg2Tl4
Method: DFT, PBE
State: optimized geometry

- Calculated formation energy: -0.27 eV per atom
- Calculated volume: 637.6 Å³ per cell
- VASP energy: -2.688 eV per atom
- Magnetic moment: 0.000 μB/atom

Lattice parameters (Å, degrees): 5.2879 5.2879 26.3318 90.00 90.00 120.00
Space group R-3m (No. 166, hexagonal axes)
Asymmetric unit:
Ca  0.0000  0.0000  0.0000
Sm  0.0000  0.0000  0.5000
Mg  0.0000  0.0000  0.2498
Tl  0.0000  0.0000  0.1234
Tl  0.0000  0.0000  0.3748

***

Record 22
Material: CaSm2MgTl4
Method: DFT, PBE
State: optimized geometry

- Calculated formation energy: -0.31 eV per atom
- Calculated volume: 669.1 Å³ per cell
- VASP energy: -3.125 eV per atom
- Magnetic moment: 0.000 μB/atom

Lattice parameters (Å, degrees): 5.3531 5.3531 26.9618 90.00 90.00 120.00
Space group R-3m (No. 166, hexagonal axes)
Asymmetric unit:
Ca  0.0000  0.0000  0.0000
Sm  0.0000  0.0000  0.2437
Mg  0.0000  0.0000  0.5000
Tl  0.0000  0.0000  0.1244
Tl  0.0000  0.0000  0.3747

***

Record 23
Material: CaSmMgTl
Method: DFT, PBE
State: optimized geometry

- Calculated formation energy: -0.27 eV per atom
- Calculated volume: 461.6 Å³ per cell
- VASP energy: -2.943 eV per atom
- Magnetic moment: 0.000 μB/atom

Lattice parameters (Å, degrees): 7.728 7.728 7.728 90.00 90.00 90.00
Space group F-43m (No. 216)
Asymmetric unit:
Ca  0.000  0.000  0.000
Sm  0.000  0.000  0.500
Mg  0.250  0.250  0.750
Tl  0.250  0.250  0.250

***

Record 24
Material: CaSmMgZn
Method: DFT, PBE
State: optimized geometry

- Calculated formation energy: -0.18 eV per atom
- Calculated volume: 108.9 Å³ per cell
- VASP energy: -2.578 eV per atom
- Magnetic moment: 0.053 μB/atom
- Energy above the lowest structure with this stoichiometry: 0 meV per atom

Lattice parameters (Å, degrees): 3.715 3.715 7.887 90.00 90.00 90.00
Space group P4mm (No. 99)
Asymmetric unit:
Ca  0.000  0.000  0.000
Sm  0.000  0.000  0.448
Mg  0.500  0.500  0.719
Zn  0.500  0.500  0.236

***

Record 25
Material: CaSmMgZn
Method: DFT, PBE
State: optimized geometry

- Calculated formation energy: -0.15 eV per atom
- Calculated volume: 428.6 Å³ per cell
- VASP energy: -2.550 eV per atom
- Magnetic moment: 0.000 μB/atom
- Energy above the lowest structure with this stoichiometry: 28 meV per atom

Lattice parameters (Å, degrees): 7.540 7.540 7.540 90.00 90.00 90.00
Space group F-43m (No. 216)
Asymmetric unit:
Ca  0.000  0.000  0.000
Sm  0.000  0.000  0.500
Mg  0.250  0.250  0.250
Zn  0.250  0.250  0.750

***

Record 26
Material: CaMgSn2
Method: DFT, PBE
State: optimized geometry

- Calculated formation energy: -0.42 eV per atom
- Calculated volume: 102.9 Å³ per cell
- VASP energy: -3.318 eV per atom
- Magnetic moment: 0.000 μB/atom

Lattice parameters (Å, degrees): 4.775 4.775 4.511 90.00 90.00 90.00
Space group P4/mmm (No. 123)
Asymmetric unit:
Ca  0.000  0.000  0.000
Mg  0.500  0.500  0.000
Sn  0.000  0.500  0.500